First-principles (PBE) data for an optimized crystal structure of PuZrTcRh, as listed in Alexandria. Values from VASP.

```
&SYSTEM
  ibrav = 0, nat = 4, ntyp = 4
/
ATOMIC_SPECIES
Rh 102.91 Rh.upf
Tc 98.00 Tc.upf
Zr 91.22 Zr.upf
Pu 244.00 Pu.upf
ATOMIC_POSITIONS angstrom
Rh 0.000 0.000 0.000
Tc 4.724 2.727 1.929
Zr 7.086 4.091 2.893
Pu 2.362 1.364 0.964
CELL_PARAMETERS angstrom
4.724 0.000 0.000
2.362 4.091 0.000
2.362 1.364 3.857
```

Computed properties:
space-group type	F-43m, No. 216
N(E_F)	5.11	states/eV per cell
crystal system	cubic
DFT total energy	-10.503	eV/atom
total magnetization	4.5	μB per formula unit